No. 1
Crystalline Hf2ZrNi2 at its relaxed geometry, computed with GGA-PBEsol.

Summary:
symmetry = No. 127
raw total energy = -8.852 eV/atom
size of the total moment = 0.0 Bohr magnetons per cell

Lattice parameters (Å, degrees): 3.219 7.233 7.233 90.00 90.00 90.00
Fractional positions:
Ni1 0.000 0.375 0.875
Ni2 0.000 0.875 0.625
Ni3 0.000 0.625 0.125
Ni4 0.000 0.125 0.375
Hf1 0.500 0.165 0.665
Hf2 0.500 0.665 0.835
Hf3 0.500 0.835 0.335
Hf4 0.500 0.335 0.165
Zr1 0.000 0.000 0.000
Zr2 0.000 0.500 0.500

=====

No. 2
Crystalline HfO2 at its relaxed geometry, computed with GGA-PBEsol.

Summary:
symmetry = No. 137
raw formation energy = -3.57 eV/atom
size of the total moment = 0.0 Bohr magnetons per cell

Lattice parameters (Å, degrees): 3.554 3.554 5.126 90.00 90.00 90.00
Fractional positions:
Hf1 0.500 0.500 0.500
Hf2 0.000 0.000 0.000
O1 0.000 0.500 0.702
O2 0.500 0.000 0.798
O3 0.500 0.000 0.298
O4 0.000 0.500 0.202